Entry 1:
Material: TbSb3S6
Method: DFT, PBE-GGA
State: relaxed

Values from the calculation:
Formation energy (no corrections) in eV per formula unit: -7.1
Uncorrected energy in eV per atom: -4.888
Space group: P2_1/m
Distance to the lowest polymorph of the same formula in meV/atom: 0
Total moment in Bohr magnetons per cell: 0.00

abc: 11.5059 3.8582 11.8725
angles: 90.00 102.26 90.00
Last column: nearest neighbours and their distance in Å.
Sites, in units of the cell vectors:
Tb: 0.1852 0.2500 0.0287  8 S 2.82-2.98
Tb: 0.8148 0.7500 0.9713  8 S 2.82-2.98
Sb: 0.0279 0.7500 0.2866  3 S 2.49-2.69
Sb: 0.3357 0.2500 0.4179  3 S 2.55-2.56
Sb: 0.4075 0.7500 0.8445  3 S 2.48-2.56
Sb: 0.5925 0.2500 0.1555  3 S 2.48-2.56
Sb: 0.6643 0.7500 0.5821  3 S 2.55-2.56
Sb: 0.9721 0.2500 0.7134  3 S 2.49-2.69
S: 0.0377 0.7500 0.8954  3 Tb 2.82-2.89, 2 Sb 2.88
S: 0.1195 0.2500 0.4377  3 Sb 2.55-2.69
S: 0.2139 0.7500 0.2115  1 Sb 2.49
S: 0.2581 0.2500 0.8020  2 Sb 2.56
S: 0.3774 0.7500 0.0455  1 Sb 2.48
S: 0.3826 0.7500 0.5619  2 Sb 2.56
S: 0.6174 0.2500 0.4381  2 Sb 2.56
S: 0.6226 0.2500 0.9545  1 Sb 2.48
S: 0.7419 0.7500 0.1980  2 Sb 2.56
S: 0.7861 0.2500 0.7885  1 Sb 2.49
S: 0.8805 0.7500 0.5623  3 Sb 2.55-2.69
S: 0.9623 0.2500 0.1046  3 Tb 2.82-2.89, 2 Sb 2.88


Entry 2:
Material: MgCo2Te
Method: DFT, PBE-GGA
State: relaxed

Values from the calculation:
Formation energy (no corrections) in eV per formula unit: 1.0
Uncorrected energy in eV per atom: -4.482
Space group: C2/m
Distance to the lowest polymorph of the same formula in meV/atom: 181
DOS(E_F) in states/eV/f.u.: 3.871
Total moment in Bohr magnetons per cell: 1.74

abc: 4.3932 4.3932 5.0096
angles: 100.28 100.28 41.79
Last column: nearest neighbours and their distance in Å.
Sites, in units of the cell vectors:
Mg: 0.0000 0.0000 0.0000  6 Co 2.63-2.76
Co: 0.2449 0.2449 0.7281  3 Te 2.57-2.63, 3 Mg 2.63-2.76, 2 Co 2.79
Co: 0.7551 0.7551 0.2719  3 Te 2.57-2.63, 3 Mg 2.63-2.76, 2 Co 2.79
Te: 0.5000 0.5000 0.5000  6 Co 2.57-2.63


Entry 3:
Material: TcSeO4
Method: DFT, PBE-GGA
State: relaxed

Values from the calculation:
Formation energy (no corrections) in eV per formula unit: -5.5
Uncorrected energy in eV per atom: -6.531
Space group: P-1
Distance to the lowest polymorph of the same formula in meV/atom: 0
DOS(E_F) in states/eV/f.u.: 1.489
Total moment in Bohr magnetons per cell: 0.00

abc: 5.0327 6.3893 6.4273
angles: 69.36 73.49 67.28
Last column: nearest neighbours and their distance in Å.
Sites, in units of the cell vectors:
Tc: 0.2359 0.0353 0.0811  5 O 1.84-2.06
Tc: 0.7641 0.9647 0.9189  5 O 1.84-2.06
Se: 0.4100 0.6814 0.6279  2 O 1.71-1.73
Se: 0.5900 0.3186 0.3721  2 O 1.71-1.73
O: 0.0703 0.6918 0.7946  1 Se 1.73
O: 0.0769 0.1296 0.8250  2 Tc 1.84-2.06
O: 0.3231 0.9215 0.4019  1 Se 1.71
O: 0.4786 0.2530 0.9519  2 Tc 1.89-2.01
O: 0.5214 0.7470 0.0481  2 Tc 1.89-2.01
O: 0.6769 0.0785 0.5981  1 Se 1.71
O: 0.9231 0.8704 0.1750  2 Tc 1.84-2.06
O: 0.9297 0.3082 0.2054  1 Se 1.73


Entry 4:
Material: KNa2LiI4
Method: DFT, PBE-GGA
State: relaxed

Values from the calculation:
Formation energy (no corrections) in eV per formula unit: -10.3
Uncorrected energy in eV per atom: -2.769
Space group: Cmcm
DOS(E_F) in states/eV/f.u.: 0.000
Total moment in Bohr magnetons per cell: 0.00

abc: 8.1759 8.1759 16.2869
angles: 90.00 90.00 147.09
Last column: nearest neighbours and their distance in Å.
Sites, in units of the cell vectors:
K: 0.1201 0.8799 0.7500  6 I 3.62-3.64
K: 0.8799 0.1201 0.2500  6 I 3.62-3.64
Na: 0.3706 0.6294 0.5520  6 I 3.19-3.42
Na: 0.3706 0.6294 0.9480  6 I 3.19-3.42
Na: 0.6294 0.3706 0.0520  6 I 3.19-3.42
Na: 0.6294 0.3706 0.4480  6 I 3.19-3.42
Li: 0.1560 0.8440 0.2500  4 I 2.73-2.79
Li: 0.8440 0.1560 0.7500  4 I 2.73-2.79
I: 0.0000 0.0000 0.0000  4 Na 3.19
I: 0.0000 0.0000 0.5000  4 Na 3.19
I: 0.2639 0.7361 0.1183  1 Li 2.73
I: 0.2639 0.7361 0.3817  1 Li 2.73
I: 0.4427 0.5573 0.7500  2 Li 2.79
I: 0.5573 0.4427 0.2500  2 Li 2.79
I: 0.7361 0.2639 0.6183  1 Li 2.73
I: 0.7361 0.2639 0.8817  1 Li 2.73


Entry 5:
Material: FeHgAs2
Method: DFT, PBE-GGA
State: relaxed

Values from the calculation:
Uncorrected energy in eV per atom: -4.202
Space group: P4mm
Formation energy from the elements in eV per atom: 0.314
DOS(E_F) in states/eV/f.u.: 2.975
Total moment in Bohr magnetons per cell: 1.56

abc: 3.1699 3.1699 7.3963
angles: 90.00 90.00 90.00
Last column: nearest neighbours and their distance in Å.
Sites, in units of the cell vectors:
Fe: 0.0000 0.0000 0.0000  5 As 2.42-2.64
Hg: 0.5000 0.5000 0.2839  1 As 3.01, 4 Fe 3.07, 4 Hg 3.17
As: 0.0000 0.0000 0.6424  1 Fe 2.64, 4 As 2.84
As: 0.5000 0.5000 0.8773  4 Fe 2.42


Entry 6:
Material: Th2HgMo
Method: DFT, PBE-GGA
State: relaxed

Values from the calculation:
Uncorrected energy in eV per atom: -6.491
Space group: P4/mmm
Formation energy from the elements in eV per atom: 0.002
DOS(E_F) in states/eV/f.u.: 4.682
Total moment in Bohr magnetons per cell: 0.00

abc: 3.5877 3.5877 8.1881
angles: 90.00 90.00 90.00
Last column: nearest neighbours and their distance in Å.
Sites, in units of the cell vectors:
Th: 0.0000 0.0000 0.2147  4 Mo 3.09, 4 Hg 3.45
Th: 0.0000 0.0000 0.7853  4 Mo 3.09, 4 Hg 3.45
Hg: 0.5000 0.5000 0.5000  8 Th 3.45, 4 Hg 3.59
Mo: 0.5000 0.5000 0.0000  8 Th 3.09


Entry 7:
Material: NiHgSe3
Method: DFT, PBE-GGA
State: relaxed

Values from the calculation:
Formation energy (no corrections) in eV per formula unit: 1.6
Uncorrected energy in eV per atom: -2.988
Space group: Pm-3m
Distance to the lowest polymorph of the same formula in meV/atom: 0
DOS(E_F) in states/eV/f.u.: 5.669
Total moment in Bohr magnetons per cell: 0.00

abc: 4.7809 4.7809 4.7809
angles: 90.00 90.00 90.00
Last column: nearest neighbours and their distance in Å.
Sites, in units of the cell vectors:
Ni: 0.0000 0.0000 0.0000  6 Se 2.39
Hg: 0.5000 0.5000 0.5000  12 Se 3.38
Se: 0.0000 0.0000 0.5000  2 Ni 2.39
Se: 0.0000 0.5000 0.0000  2 Ni 2.39
Se: 0.5000 0.0000 0.0000  2 Ni 2.39


Entry 8:
Material: LiV2Se
Method: DFT, PBE-GGA
State: relaxed

Values from the calculation:
Formation energy (no corrections) in eV per formula unit: 1.0
Uncorrected energy in eV per atom: -5.655
Space group: I-42d
DOS(E_F) in states/eV/f.u.: 3.675
Total moment in Bohr magnetons per cell: 0.00

abc: 5.6440 5.6440 5.6440
angles: 100.42 100.42 129.65
Last column: nearest neighbours and their distance in Å.
Sites, in units of the cell vectors:
Li: 0.0000 0.0000 0.0000  2 Se 2.40
Li: 0.7500 0.2500 0.5000  2 Se 2.40
V: 0.1711 0.6250 0.0461  2 Se 2.41, 2 V 2.49
V: 0.3750 0.4211 0.5461  2 Se 2.41, 2 V 2.49
V: 0.5789 0.1250 0.9539  2 Se 2.41, 2 V 2.49
V: 0.8750 0.8289 0.4539  2 Se 2.41, 2 V 2.49
Se: 0.2500 0.7500 0.5000  2 Li 2.40, 4 V 2.41
Se: 0.5000 0.5000 0.0000  2 Li 2.40, 4 V 2.41


Entry 9:
Material: ThMgZnIr
Method: DFT, PBE-GGA
State: relaxed

Values from the calculation:
Uncorrected energy in eV per atom: -5.210
Space group: F-43m
Formation energy from the elements in eV per atom: -0.423
DOS(E_F) in states/eV/f.u.: 1.597
Total moment in Bohr magnetons per cell: 0.00

abc: 4.8786 4.8786 4.8786
angles: 60.00 60.00 60.00
Last column: nearest neighbours and their distance in Å.
Sites, in units of the cell vectors:
Th: 0.0000 0.0000 0.0000  4 Zn 2.99, 4 Ir 2.99
Mg: 0.5000 0.5000 0.5000  4 Ir 2.99, 4 Zn 2.99
Zn: 0.7500 0.7500 0.7500  4 Th 2.99, 4 Mg 2.99
Ir: 0.2500 0.2500 0.2500  4 Th 2.99, 4 Mg 2.99


Entry 10:
Material: Li3Cd6Ga
Method: DFT, PBE-GGA
State: relaxed

Values from the calculation:
Uncorrected energy in eV per atom: -1.555
Space group: R-3
Formation energy from the elements in eV per atom: -0.129
Distance to the lowest polymorph of the same formula in meV/atom: 49
DOS(E_F) in states/eV/f.u.: 3.572
Total moment in Bohr magnetons per cell: 0.00

abc: 7.3964 7.3964 7.3964
angles: 90.92 90.92 90.92
Last column: nearest neighbours and their distance in Å.
Sites, in units of the cell vectors:
Li: 0.2492 0.6182 0.7507  6 Cd 2.76-3.08, 1 Ga 2.78, 2 Li 2.91
Li: 0.2493 0.7508 0.3818  6 Cd 2.76-3.08, 1 Ga 2.78, 2 Li 2.91
Li: 0.3818 0.2493 0.7508  6 Cd 2.76-3.08, 1 Ga 2.78, 2 Li 2.91
Li: 0.6182 0.7507 0.2492  6 Cd 2.76-3.08, 1 Ga 2.78, 2 Li 2.91
Li: 0.7507 0.2492 0.6182  6 Cd 2.76-3.08, 1 Ga 2.78, 2 Li 2.91
Li: 0.7508 0.3818 0.2493  6 Cd 2.76-3.08, 1 Ga 2.78, 2 Li 2.91
Cd: 0.0240 0.3486 0.8755  1 Ga 2.76, 3 Li 2.76-2.92, 2 Cd 2.91-3.07
Cd: 0.1186 0.3495 0.4541  6 Cd 2.93-3.21, 5 Li 3.02-3.16, 1 Ga 3.03
Cd: 0.1245 0.9760 0.6514  1 Ga 2.76, 3 Li 2.76-2.92, 2 Cd 2.91-3.07
Cd: 0.3486 0.8755 0.0240  1 Ga 2.76, 3 Li 2.76-2.92, 2 Cd 2.91-3.07
Cd: 0.3495 0.4541 0.1186  6 Cd 2.93-3.21, 5 Li 3.02-3.16, 1 Ga 3.03
Cd: 0.4541 0.1186 0.3495  6 Cd 2.93-3.21, 5 Li 3.02-3.16, 1 Ga 3.03
Cd: 0.5459 0.8814 0.6505  6 Cd 2.93-3.21, 5 Li 3.02-3.16, 1 Ga 3.03
Cd: 0.6505 0.5459 0.8814  6 Cd 2.93-3.21, 5 Li 3.02-3.16, 1 Ga 3.03
Cd: 0.6514 0.1245 0.9760  1 Ga 2.76, 3 Li 2.76-2.92, 2 Cd 2.91-3.07
Cd: 0.8755 0.0240 0.3486  1 Ga 2.76, 3 Li 2.76-2.92, 2 Cd 2.91-3.07
Cd: 0.8814 0.6505 0.5459  6 Cd 2.93-3.21, 5 Li 3.02-3.16, 1 Ga 3.03
Cd: 0.9760 0.6514 0.1245  1 Ga 2.76, 3 Li 2.76-2.92, 2 Cd 2.91-3.07
Ga: 0.0000 0.0000 0.0000  6 Cd 2.76
Ga: 0.5000 0.5000 0.5000  6 Li 2.78, 6 Cd 3.03


The lowest uncorrected energy belongs to which entry?
TcSeO4